A plane-wave DFT calculation with GGA-PBE was carried out for a geometry-optimized TlReN2 structure. Values from VASP.

Geometry as Quantum ESPRESSO input:
```
&SYSTEM
  ibrav = 0, nat = 8, ntyp = 3
/
ATOMIC_SPECIES
N 14.01 N.upf
Re 186.21 Re.upf
Tl 204.38 Tl.upf
ATOMIC_POSITIONS crystal
N 0.429 0.125 0.250
Re 0.500 0.500 0.000
N 0.321 0.625 0.250
Tl 0.750 0.250 0.500
Re 0.250 0.750 0.500
N 0.375 0.571 0.750
Tl 0.000 0.000 0.000
N 0.875 0.679 0.750
CELL_PARAMETERS angstrom
5.727 0.000 0.000
0.000 5.727 0.000
2.864 2.864 4.644
```

## Properties
- Total magnetization: 0.000 μB/cell
- Formation energy from raw total energies: 16.8 kJ/mol of atoms
- Excess energy over the best structure of this formula in the dataset: 0 meV/atom
- N(E_F): 0.5308 states/eV/atom